[1]
Below is a relaxed Ba2LaHf crystal, with properties calculated at the PBE-GGA level.

ΔH_f (0 K): 717 meV/atom
space-group type: No. 225
excess energy over the best structure of this formula in the dataset: 0.0000 eV/atom

```
Ba2LaHf
1.0
0.0000 4.2755 4.2755
4.2755 0.0000 4.2755
4.2755 4.2755 0.0000
Hf Ba La
1 2 1
Cartesian
4.2755 4.2755 4.2755
2.1378 2.1378 2.1378
6.4133 6.4133 6.4133
0.0000 0.0000 0.0000
```

***

[2]
Below is a relaxed BaLaHf3 crystal, with properties calculated at the PBE-GGA level.

ΔH_f (0 K): 1231 meV/atom
space-group type: No. 221

```
BaLaHf3
1.0
-3.8580 -3.7858 0.4723
3.7562 -3.8868 -0.4722
0.6678 -0.0087 5.3845
Hf Ba La
3 1 1
Cartesian
1.8781 -1.9434 -0.2361
0.3339 -0.0044 2.6923
-1.9290 -1.8929 0.2362
0.2830 -3.8407 2.6924
0.0000 0.0000 0.0000
```

***

[3]
Below is a relaxed BaLiLa2Hf crystal, with properties calculated at the PBE-GGA level.

ΔH_f (0 K): 861 meV/atom
space-group type: No. 123

```
BaLiLa2Hf
1.0
-1.6917 -3.4790 -4.0238
5.2056 -1.3121 -1.0541
-0.2947 -4.1546 3.7160
Li Hf Ba La
1 1 1 2
Cartesian
0.0000 0.0000 0.0000
1.6096 -4.4728 -0.6810
2.6028 -0.6560 -0.5271
-0.1473 -2.0773 1.8580
-0.8458 -1.7395 -2.0119
```

***

[4]
Below is a relaxed Ba2LaHfMn crystal, with properties calculated at the PBE-GGA level.

ΔH_f (0 K): 1310 meV/atom
space-group type: No. 123

```
Ba2LaHfMn
1.0
-5.5613 0.4569 3.1380
-1.9927 -2.2292 -3.2070
1.2612 -5.4938 3.0350
Mn Hf Ba La
1 1 2 1
Cartesian
-0.9963 -1.1146 -1.6035
-3.1464 -3.6330 1.4830
0.6306 -2.7469 1.5175
-2.7806 0.2284 1.5690
0.0000 0.0000 0.0000
```

***

[5]
Below is a relaxed BaLaHf2Mo crystal, with properties calculated at the PBE-GGA level.

ΔH_f (0 K): 770 meV/atom
space-group type: No. 123

```
BaLaHf2Mo
1.0
5.2106 0.0000 0.0000
0.0000 5.7218 0.0000
0.0000 0.0000 5.2106
Mo Hf Ba La
1 2 1 1
Cartesian
0.0000 0.0000 0.0000
0.0000 0.0000 2.6053
2.6053 0.0000 0.0000
0.0000 2.8609 0.0000
2.6053 2.8609 2.6053
```

***

[6]
Below is a relaxed BaLa2HfN4 crystal, with properties calculated at the PBE-GGA level.

ΔE_f (raw): -1023 meV/atom
space-group type: No. 74

```
BaLa2HfN4
1.0
7.4411 -0.2430 0.0188
-0.2482 7.4410 0.0188
-3.5332 -3.5357 5.0698
Ba La Hf N
2 4 2 8
Cartesian
-0.1241 3.7205 0.0094
5.5504 1.7096 2.5630
3.7206 -0.1215 0.0094
1.9540 -1.8893 2.5443
-1.7666 -1.7678 2.5349
3.5965 3.5989 0.0188
1.8298 1.8311 2.5537
3.9079 -3.7787 5.0886
1.3589 5.9967 0.1311
3.2752 0.2250 2.4413
0.3844 3.4372 2.6660
2.3009 -2.3344 4.9763
1.8521 1.9289 5.0566
3.5619 3.6399 2.6044
0.0978 0.0224 2.5029
1.8075 1.7334 0.0508
```

***

[7]
Below is a relaxed Ba3LaHf2O9 crystal, with properties calculated at the PBE-GGA level.

ΔE_f (raw): -3088 meV/atom
space-group type: No. 164

```
Ba3LaHf2O9
1.0
-4.0596 -4.3304 1.5588
6.0153 -1.1656 0.3468
0.0738 2.5244 7.2052
Ba La Hf O
3 1 2 9
Cartesian
2.7071 -0.5052 5.6466
0.0000 0.0000 0.0000
-0.6776 -2.4664 3.4641
0.0369 1.2622 3.6026
2.6687 -1.8214 1.8902
-0.6392 -1.1503 7.2206
-2.2378 -2.0382 6.3004
0.6053 -2.5891 6.4643
-0.3191 0.0086 5.5637
2.3486 -2.9802 3.5471
1.4242 -0.3825 2.6464
4.2673 -0.9335 2.8103
-2.0298 -2.1652 0.7794
3.0076 -0.5828 0.1734
0.9778 -2.7480 0.9528
```

***

[8]
Below is a relaxed Ba4LaHf3O12 crystal, with properties calculated at the PBE-GGA level.

ΔE_f (raw): -3141 meV/atom
space-group type: No. 229

```
Ba4LaHf3O12
1.0
-0.0575 1.6575 -7.2826
6.7658 -2.5080 1.9292
-5.1011 -5.2750 1.3931
Ba La Hf O
4 1 3 12
Cartesian
0.8036 -3.0627 -1.9801
-2.5505 -2.6375 0.6966
-0.0288 0.8288 -3.6413
3.3829 -1.2540 0.9646
0.0000 0.0000 0.0000
-2.5793 -1.8087 -2.9447
3.3541 -0.4252 -2.6767
0.8323 -3.8915 1.6612
-0.4573 -4.7958 0.1888
-3.7868 -2.6554 -4.3232
-1.3719 -0.9620 -1.5662
2.0645 -1.3296 -4.1491
4.9243 -0.6242 -3.9298
1.7840 -0.2262 -1.4237
-0.9022 -2.0213 -4.2831
2.5094 -4.1041 0.3228
-2.1631 -3.7544 -2.1142
1.2220 -5.7132 2.4388
3.7703 -2.3709 -1.8461
0.4427 -2.0697 0.8835
```

***

[9]
Below is a relaxed BaLaHf2Pd crystal, with properties calculated at the PBE-GGA level.

ΔH_f (0 K): 1734 meV/atom
space-group type: No. 123
excess energy over the best structure of this formula in the dataset: 0.3085 eV/atom

```
BaLaHf2Pd
1.0
-3.7050 3.7820 0.2906
-3.3679 -3.0306 -3.4976
-2.1572 -2.4350 4.1870
Hf Ba Pd La
2 1 1 1
Cartesian
-1.0786 -1.2175 2.0935
-1.8525 1.8910 0.1453
0.0000 0.0000 0.0000
-4.6150 -0.8418 0.4900
-1.6839 -1.5153 -1.7488
```

***

[10]
Below is a relaxed BaLaHf2Pd crystal, with properties calculated at the PBE-GGA level.

ΔH_f (0 K): 1425 meV/atom
space-group type: No. 123
excess energy over the best structure of this formula in the dataset: 0.0000 eV/atom

```
BaLaHf2Pd
1.0
5.2634 0.0000 0.0000
0.0000 6.0864 0.0000
0.0000 0.0000 5.2634
Hf Ba Pd La
2 1 1 1
Cartesian
0.0000 0.0000 2.6317
2.6317 0.0000 0.0000
0.0000 3.0432 0.0000
2.6317 3.0432 2.6317
0.0000 0.0000 0.0000
```

***

[11]
Below is a relaxed BaLaHfSc2 crystal, with properties calculated at the PBE-GGA level.

ΔH_f (0 K): 1325 meV/atom
space-group type: No. 123

```
BaLaHfSc2
1.0
-4.0955 3.0473 -1.4514
-3.0220 -1.9619 4.4082
1.8593 3.9415 3.0287
Sc Hf Ba La
2 1 1 1
Cartesian
0.9296 1.9707 1.5144
-2.0478 1.5236 -0.7257
-2.6291 2.5134 2.9928
0.0000 0.0000 0.0000
-1.5110 -0.9809 2.2041
```

***

[12]
Below is a relaxed Ba3LiHf crystal, with properties calculated at the PBE-GGA level.

ΔH_f (0 K): 752 meV/atom
space-group type: No. 221
excess energy over the best structure of this formula in the dataset: 0.0000 eV/atom

```
Ba3LiHf
1.0
6.4704 0.0000 0.0000
0.0000 6.4704 0.0000
0.0000 0.0000 6.4704
Hf Ba Li
1 3 1
Cartesian
0.0000 0.0000 0.0000
0.0000 3.2352 0.0000
0.0000 0.0000 3.2352
3.2352 0.0000 0.0000
3.2352 3.2352 3.2352
```

***

The calculation returns the following DOS at the Fermi energy values, one per record and in order: 1.94; 2.85; 1.43; 1.41; 2.04; 0.07; 0.92; 0.61; 2.20; 2.12; 1.69; 1.46 states/eV/atom.